<a>
Material: SrPmY
Method: DFT, PBE
State: optimized geometry

a = 3.767 Å, b = 3.767 Å, c = 9.365 Å
α = 90.00°, β = 90.00°, γ = 120.00°
Fractional positions:
Sr 0.000 0.000 0.000
Pm 0.667 0.333 0.357
Y 0.333 0.667 0.651

space-group type = P3m1

***

<b>
Material: SrPmY
Method: DFT, PBE
State: optimized geometry

a = 8.560 Å, b = 8.560 Å, c = 8.560 Å
α = 154.56°, β = 154.56°, γ = 36.29°
Fractional positions:
Sr 0.000 0.000 0.000
Pm 0.320 0.320 0.000
Y 0.679 0.679 0.000

space-group type = I4mm

***

<c>
Material: SrPmY
Method: DFT, PBE
State: optimized geometry

a = 6.217 Å, b = 6.217 Å, c = 12.398 Å
α = 115.34°, β = 115.34°, γ = 33.59°
Fractional positions:
Sr 0.082 0.082 0.400
Sr 0.918 0.918 0.600
Pm 0.265 0.265 0.777
Pm 0.735 0.735 0.223
Y 0.395 0.395 0.082
Y 0.605 0.605 0.918

space-group type = C2/m

***

Stability ranking, top and bottom: <b> is the most stable and <c> is the least stable.

***

<a>
Material: Tb3Pm7
Method: DFT, PBE
State: optimized geometry

a = 11.195 Å, b = 11.195 Å, c = 6.252 Å
α = 90.00°, β = 90.00°, γ = 120.00°
Fractional positions:
Tb 0.217 0.435 0.000
Tb 0.217 0.783 0.000
Tb 0.435 0.217 0.500
Tb 0.565 0.783 0.000
Tb 0.783 0.217 0.500
Tb 0.783 0.565 0.500
Pm 0.056 0.528 0.382
Pm 0.117 0.233 0.513
Pm 0.117 0.883 0.513
Pm 0.233 0.117 0.013
Pm 0.333 0.667 0.595
Pm 0.472 0.528 0.382
Pm 0.472 0.944 0.382
Pm 0.528 0.056 0.882
Pm 0.528 0.472 0.882
Pm 0.667 0.333 0.095
Pm 0.767 0.883 0.513
Pm 0.883 0.117 0.013
Pm 0.883 0.767 0.013
Pm 0.944 0.472 0.882

space-group type = P6_3mc

***

<b>
Material: Tb3Pm7
Method: DFT, PBE
State: optimized geometry

a = 9.577 Å, b = 9.577 Å, c = 7.255 Å
α = 100.95°, β = 100.95°, γ = 31.03°
Fractional positions:
Tb 0.000 0.000 0.000
Tb 0.201 0.201 0.600
Tb 0.799 0.799 0.400
Pm 0.000 0.000 0.500
Pm 0.200 0.200 0.100
Pm 0.400 0.400 0.201
Pm 0.400 0.400 0.699
Pm 0.600 0.600 0.301
Pm 0.600 0.600 0.799
Pm 0.800 0.800 0.900

space-group type = C2/m

***

Stability ranking, top and bottom: <b> is the most stable and <a> is the least stable.

***

<a>
Material: Tb8Pm3
Method: DFT, PBE
State: optimized geometry

a = 32.181 Å, b = 32.181 Å, c = 32.181 Å
α = 6.39°, β = 6.39°, γ = 6.39°
Fractional positions:
Tb 0.045 0.045 0.045
Tb 0.136 0.136 0.136
Tb 0.318 0.318 0.318
Tb 0.408 0.408 0.408
Tb 0.592 0.592 0.592
Tb 0.682 0.682 0.682
Tb 0.864 0.864 0.864
Tb 0.955 0.955 0.955
Pm 0.228 0.228 0.228
Pm 0.500 0.500 0.500
Pm 0.772 0.772 0.772

space-group type = R-3m

***

<b>
Material: Tb8Pm3
Method: DFT, PBE
State: optimized geometry

a = 7.151 Å, b = 7.151 Å, c = 7.151 Å
α = 86.23°, β = 86.23°, γ = 86.23°
Fractional positions:
Tb 0.124 0.124 0.124
Tb 0.196 0.356 0.611
Tb 0.356 0.611 0.196
Tb 0.389 0.804 0.644
Tb 0.611 0.196 0.356
Tb 0.644 0.389 0.804
Tb 0.804 0.644 0.389
Tb 0.876 0.876 0.876
Pm 0.000 0.000 0.500
Pm 0.000 0.500 0.000
Pm 0.500 0.000 0.000

space-group type = R-3

***

Stability ranking, top and bottom: <a> is the most stable and <b> is the least stable.

***

<a>
Material: Tb2Pm13
Method: DFT, PBE
State: optimized geometry

a = 6.753 Å, b = 9.117 Å, c = 9.118 Å
α = 66.39°, β = 82.22°, γ = 82.25°
Fractional positions:
Tb 0.099 0.431 0.269
Tb 0.901 0.569 0.731
Pm 0.000 0.000 0.500
Pm 0.101 0.765 0.935
Pm 0.196 0.205 0.697
Pm 0.298 0.971 0.130
Pm 0.304 0.637 0.463
Pm 0.398 0.403 0.898
Pm 0.498 0.834 0.668
Pm 0.502 0.166 0.332
Pm 0.602 0.597 0.102
Pm 0.696 0.363 0.537
Pm 0.702 0.029 0.870
Pm 0.804 0.795 0.303
Pm 0.899 0.235 0.065

space-group type = P-1

***

<b>
Material: Tb2Pm13
Method: DFT, PBE
State: optimized geometry

a = 12.451 Å, b = 12.451 Å, c = 12.451 Å
α = 33.50°, β = 33.50°, γ = 33.50°
Fractional positions:
Tb 0.206 0.206 0.206
Tb 0.794 0.794 0.794
Pm 0.000 0.000 0.000
Pm 0.042 0.546 0.546
Pm 0.208 0.710 0.710
Pm 0.290 0.290 0.792
Pm 0.290 0.792 0.290
Pm 0.454 0.454 0.958
Pm 0.454 0.958 0.454
Pm 0.546 0.042 0.546
Pm 0.546 0.546 0.042
Pm 0.710 0.208 0.710
Pm 0.710 0.710 0.208
Pm 0.792 0.290 0.290
Pm 0.958 0.454 0.454

space-group type = R-3m

***

Stability ranking, top and bottom: <a> is the most stable and <b> is the least stable.

***

<a>
Material: Tb3Pm
Method: DFT, PBE
State: optimized geometry

a = 6.795 Å, b = 6.795 Å, c = 6.795 Å
α = 148.86°, β = 64.73°, γ = 124.81°
Fractional positions:
Tb 0.000 0.000 0.000
Tb 0.417 0.668 0.749
Tb 0.919 0.668 0.251
Pm 0.502 0.002 0.500

space-group type = Imm2

***

<b>
Material: Tb3Pm
Method: DFT, PBE
State: optimized geometry

a = 6.209 Å, b = 6.209 Å, c = 6.209 Å
α = 131.87°, β = 131.87°, γ = 70.43°
Fractional positions:
Tb 0.000 0.000 0.000
Tb 0.250 0.750 0.500
Tb 0.750 0.250 0.500
Pm 0.500 0.500 0.000

space-group type = I4/mmm

***

<c>
Material: Tb3Pm
Method: DFT, PBE
State: optimized geometry

a = 5.707 Å, b = 5.707 Å, c = 5.707 Å
α = 60.00°, β = 60.00°, γ = 60.00°
Fractional positions:
Tb 0.000 0.000 0.000
Tb 0.250 0.250 0.250
Tb 0.750 0.750 0.750
Pm 0.500 0.500 0.500

space-group type = Fm-3m

***

Stability ranking, top and bottom: <b> is the most stable and <c> is the least stable.

***

<a>
Material: Tb3Pm
Method: DFT, PBE
State: optimized geometry

a = 3.651 Å, b = 5.729 Å, c = 6.314 Å
α = 90.00°, β = 90.00°, γ = 90.00°
Fractional positions:
Tb 0.000 0.000 0.000
Tb 0.000 0.500 0.333
Tb 0.500 0.500 0.834
Pm 0.500 0.000 0.499

space-group type = Pmm2

***

<b>
Material: Tb3Pm
Method: DFT, PBE
State: optimized geometry

a = 7.276 Å, b = 7.276 Å, c = 5.741 Å
α = 90.00°, β = 90.00°, γ = 120.00°
Fractional positions:
Tb 0.166 0.333 0.250
Tb 0.166 0.834 0.250
Tb 0.333 0.166 0.750
Tb 0.667 0.834 0.250
Tb 0.834 0.166 0.750
Tb 0.834 0.667 0.750
Pm 0.333 0.667 0.750
Pm 0.667 0.333 0.250

space-group type = P6_3/mmc

***

Stability ranking, top and bottom: <b> is the most stable and <a> is the least stable.